The following is a PBE-GGA calculation of an optimized crystal structure of Ac2TeCl, from Alexandria via LeMat-Bulk.

The crystal system is trigonal. The energy relative to the lowest polymorph listed for this composition is 0 meV/atom. For the calculated density, the calculation gives 7.72 Mg/m³. The calculation puts the total magnetization at 0.001 Bohr magnetons per cell.

It has space group R-3m (No. 166, hexagonal axes), with a = 4.5335 Å, b = 4.5335 Å, c = 22.3679 Å, α = 90.00°, β = 90.00° and γ = 120.00°. Symmetry generates all atoms from Ac at (0.0000, 0.0000, 0.2422), Te at (0.0000, 0.0000, 0.0000) and Cl at (0.0000, 0.0000, 0.5000).